Record 1
AgBi6Pb12 | PBE | optimized geometry

Values from the calculation:
VASP energy (eV per cell): -69.85
Formation energy (eV per atom): 0.0414
Size of the total moment (Bohr magnetons per cell): 0.00
Offset from the most stable computed form (meV/atom): 0

Cell: 8.656 8.656 8.656 Å, 76.01 76.01 76.01°
Fractional coordinates of all 19 atoms:
Ag: 0.000 0.000 0.000
Bi: 0.144 0.774 0.774
Bi: 0.226 0.226 0.856
Bi: 0.226 0.856 0.226
Bi: 0.774 0.144 0.774
Bi: 0.774 0.774 0.144
Bi: 0.856 0.226 0.226
Pb: 0.132 0.132 0.480
Pb: 0.132 0.480 0.132
Pb: 0.190 0.518 0.518
Pb: 0.480 0.132 0.132
Pb: 0.482 0.482 0.810
Pb: 0.482 0.810 0.482
Pb: 0.518 0.190 0.518
Pb: 0.518 0.518 0.190
Pb: 0.520 0.868 0.868
Pb: 0.810 0.482 0.482
Pb: 0.868 0.520 0.868
Pb: 0.868 0.868 0.520

Record 2
AgBi2Pb6 | PBE | optimized geometry

Values from the calculation:
VASP energy (eV per cell): -32.50
Formation energy (eV per atom): 0.0408
Size of the total moment (Bohr magnetons per cell): 0.00
Offset from the most stable computed form (meV/atom): 0

Cell: 4.463 8.518 8.518 Å, 120.05 90.00 90.00°
Fractional coordinates of all 9 atoms:
Ag: 0.000 0.000 0.000
Bi: 0.500 0.333 0.667
Bi: 0.500 0.667 0.333
Pb: 0.000 0.000 0.381
Pb: 0.000 0.381 0.000
Pb: 0.000 0.618 0.618
Pb: 0.500 0.000 0.756
Pb: 0.500 0.244 0.244
Pb: 0.500 0.756 0.000

Record 3
AgBi2Pb2 | PBE | optimized geometry

Values from the calculation:
VASP energy (eV per cell): -33.97
Formation energy (eV per atom): 0.2093
Size of the total moment (Bohr magnetons per cell): 0.00
Offset from the most stable computed form (meV/atom): 77

Cell: 7.908 7.908 5.057 Å, 90.00 90.00 90.00°
Fractional coordinates of all 10 atoms:
Ag: 0.000 0.000 0.000
Ag: 0.500 0.500 0.000
Bi: 0.140 0.360 0.500
Bi: 0.360 0.860 0.500
Bi: 0.640 0.140 0.500
Bi: 0.860 0.640 0.500
Pb: 0.162 0.662 0.000
Pb: 0.338 0.162 0.000
Pb: 0.662 0.838 0.000
Pb: 0.838 0.338 0.000

Record 4
AgBi3Pb4 | PBE | optimized geometry

Values from the calculation:
VASP energy (eV per cell): -28.75
Formation energy (eV per atom): 0.0718
Size of the total moment (Bohr magnetons per cell): 0.00

Cell: 14.977 14.977 3.527 Å, 96.21 96.21 18.56°
Fractional coordinates of all 8 atoms:
Ag: 0.000 0.000 0.000
Bi: 0.345 0.345 0.904
Bi: 0.500 0.500 0.500
Bi: 0.655 0.655 0.096
Pb: 0.089 0.089 0.589
Pb: 0.215 0.215 0.728
Pb: 0.785 0.785 0.272
Pb: 0.911 0.911 0.411